Record 1
This record from the Alexandria database describes a relaxed structure of KCa3Rh. The functional is PBE-GGA.

Computed properties:
symmetry = C2/m (12)
D(E_F) = 0.50 states/eV per atom
spin magnetization = 0.0000 μB per atom
DFT formation energy = -0.13 eV/atom
electronic total energy = -0.2222 Ry/atom

Unit cell a=24.0116 b=11.3956 c=11.3956 alpha=159.91 beta=156.52 gamma=23.48
Atoms (fractional coordinates):
1 Ca 0.0893 0.3331 0.6669
2 Ca 0.3186 0.7117 0.2883
3 Ca 0.3984 0.4572 0.5428
4 Ca 0.6814 0.2883 0.7117
5 Ca 0.9107 0.6669 0.3331
6 Ca 0.6016 0.5428 0.4572
7 K 0.1848 0.0255 0.9745
8 K 0.8152 0.9745 0.0255
9 Rh 0.5853 0.9696 0.0304
10 Rh 0.4147 0.0304 0.9696

Record 2
This record from the Alexandria database describes a relaxed structure of KCa3Rh. The functional is PBE-GGA.

Computed properties:
symmetry = Pm (6)
D(E_F) = 0.48 states/eV per atom
spin magnetization = 0.0000 μB per atom
DFT formation energy = -0.19 eV/atom
electronic total energy = -0.2265 Ry/atom

Unit cell a=11.1685 b=4.1479 c=10.1129 alpha=114.17 beta=103.79 gamma=68.24
Atoms (fractional coordinates):
1 Ca 0.1033 0.0690 0.5057
2 Ca 0.0305 0.3151 0.1792
3 Ca 0.3516 0.2176 0.4022
4 Ca 0.1079 0.4317 0.8732
5 Ca 0.4248 0.9706 0.7284
6 Ca 0.3479 0.8537 0.0349
7 Rh 0.2199 0.6500 0.2032
8 Rh 0.2354 0.6357 0.7046
9 K 0.6762 0.2133 0.2231
10 K 0.7795 0.0761 0.6880

What is the electronic total energy in the second record?
-0.2265 Ry/atom